# 1
Here is Tb3Zn2Ag3 after structural relaxation from Alexandria via LeMat-Bulk. Energies are from GGA-PBE.

Cell lengths 3.917, 7.289, 7.289 Å; angles 120.00, 90.00, 90.00 degrees
Atoms (fractional coordinates):
Tb 0.500 0.385 0.385
Zn 0.000 0.667 0.333
Ag 0.000 0.000 0.241
Ag 0.000 0.241 0.000
Tb 0.500 0.000 0.615
Ag 0.000 0.759 0.759
Zn 0.000 0.333 0.667
Tb 0.500 0.615 0.000

Computed properties:
For the density of states at the Fermi level, the calculation gives 8.422 states/eV/f.u. Its space group is P-62m, No. 189. The calculated total energy comes out at -3.39 eV/atom.

# 2
Here is Li5Zn2Ag after structural relaxation from Alexandria via LeMat-Bulk. Energies are from GGA-PBE.

Cell lengths 4.092, 4.092, 8.102 Å; angles 104.63, 104.63, 90.00 degrees
Atoms (fractional coordinates):
Zn 0.251 0.251 0.502
Li 0.129 0.629 0.258
Li 0.371 0.871 0.742
Ag 0.000 0.000 0.000
Li 0.871 0.371 0.742
Zn 0.749 0.749 0.498
Li 0.500 0.500 0.000
Li 0.629 0.129 0.258

Computed properties:
For the density of states at the Fermi level, the calculation gives 1.985 states/eV/f.u. Its space group is I4/mmm, No. 139. The calculated total energy comes out at -2.02 eV/atom.

# 3
Here is U6Os2Ru after structural relaxation from Alexandria via LeMat-Bulk. Energies are from GGA-PBE.

Cell lengths 2.781, 8.658, 8.658 Å; angles 56.51, 71.29, 71.29 degrees
Atoms (fractional coordinates):
Os 0.462 0.333 0.333
U 0.156 0.000 0.331
U 0.156 0.331 0.000
U 0.487 0.669 0.330
U 0.816 0.000 0.670
Os 0.795 0.667 0.667
U 0.487 0.330 0.669
U 0.816 0.670 0.000
Ru 0.826 0.000 0.000

Computed properties:
For the density of states at the Fermi level, the calculation gives 14.326 states/eV/f.u. Its space group is P6mm, No. 183. The calculated total energy comes out at -11.19 eV/atom.

# 4
Here is Sc2VPRh after structural relaxation from Alexandria via LeMat-Bulk. Energies are from GGA-PBE.

Cell lengths 4.980, 4.416, 4.980 Å; angles 90.00, 90.00, 90.00 degrees
Each line ends with the local moment (μB).
Atoms (fractional coordinates):
Sc 0.500 0.000 0.000  0.15
Sc 0.000 0.000 0.500  0.19
P 0.000 0.500 0.000  -0.03
V 0.500 0.500 0.500  2.88
Rh 0.000 0.000 0.000  0.07

Computed properties:
For the density of states at the Fermi level, the calculation gives 4.694 states/eV/f.u. Its space group is P4/mmm, No. 123. The calculated total energy comes out at -6.78 eV/atom.

| no. | total magnetization (μB per formula unit) |
| --- | --- |
| 1 | 0.003 |
| 2 | 0.000 |
| 3 | 0.000 |
| 4 | 4.241 |